Compound: CsTbB2H8
Source: the Alexandria database
Functional: PBE
Structure: optimized geometry

The structure belongs to space group R-3m (No. 166, hexagonal axes); the cell edges are 4.1168, 4.1168 and 26.0341 Å and the angles 90.00°, 90.00° and 120.00°. The distinct sites, in fractional coordinates, are Cs at (0.0000, 0.0000, 0.0000), Tb at (0.0000, 0.0000, 0.5000), B at (0.0000, 0.0000, 0.2319), H at (0.0000, 0.0000, 0.2789) and H at (0.0034, 0.5017, 0.4512).

As for the volume: 382 Å³ per cell. For the calculated total energy, the calculation gives -4.071 eV/atom. The value obtained for the density of states at the Fermi level is 1.0 states/eV/f.u.

***

Compound: Ac3HPb
Source: the Alexandria database
Functional: PBE
Structure: optimized geometry

The structure belongs to space group P2_1/c (No. 14); the cell edges are 7.0069, 7.3082 and 12.7904 Å and the angles 90.00°, 94.87° and 90.00°. The distinct sites, in fractional coordinates, are Ac at (0.1205, 0.1255, 0.1771), Ac at (0.2075, 0.6274, 0.0896), Ac at (0.3288, 0.1448, 0.9132), H at (0.1059, 0.1756, 0.5181) and Pb at (0.4018, 0.6753, 0.8405).

As for the volume: 653 Å³ per cell. The energy relative to the lowest polymorph listed for this composition is 0.000 eV per atom. The value obtained for the density of states at the Fermi level is 4.7 states/eV/f.u.

***

Compound: CePb2
Source: the Alexandria database
Functional: PBE
Structure: optimized geometry

The structure belongs to space group I4/mmm (No. 139); the cell edges are 3.3949, 3.3949 and 15.7706 Å and the angles 90.00°, 90.00° and 90.00°. The distinct sites, in fractional coordinates, are Ce at (0.0000, 0.0000, 0.0000) and Pb at (0.0000, 0.0000, 0.3404).

As for the volume: 182 Å³ per cell. The energy of formation from the pure elements comes out at -85.7 meV per atom. The value obtained for the density of states at the Fermi level is 5.9 states/eV/f.u.

***

Q: Which formula does entry 3 have?
A: CePb2

***

Q: Which formula does entry 3 have?
A: CePb2